This record from Alexandria describes an optimized crystal structure of MnV3Te8. The functional is PBE-GGA.

Unit cell a=7.595 b=7.595 c=12.900 alpha=90.00 beta=90.00 gamma=120.00
Positions (direct):
Mn 0.333 0.667 0.000
Mn 0.667 0.333 0.500
V 0.188 0.375 0.730
V 0.188 0.812 0.730
V 0.375 0.188 0.230
V 0.625 0.812 0.730
V 0.812 0.188 0.230
V 0.812 0.625 0.230
Te 0.000 0.000 0.336
Te 0.000 0.000 0.836
Te 0.012 0.506 0.868
Te 0.168 0.337 0.126
Te 0.168 0.832 0.126
Te 0.333 0.667 0.588
Te 0.337 0.168 0.626
Te 0.494 0.506 0.868
Te 0.494 0.988 0.868
Te 0.506 0.012 0.368
Te 0.506 0.494 0.368
Te 0.663 0.832 0.126
Te 0.667 0.333 0.088
Te 0.832 0.168 0.626
Te 0.832 0.663 0.626
Te 0.988 0.494 0.368

## Properties
Its uncorrected formation energy is -24.4 kJ per mole of atoms. As for the symmetry: P6_3mc (186). Its raw total energy is -64.7 eV per formula unit. The magnetic moment is 13.1 Bohr magnetons per cell.